This record from the Alexandria database describes a relaxed Li3FeF6 crystal. The functional is PBE with a Hubbard U.

It has space group Cmc2_1 (No. 36), with a = 9.486 Å, b = 10.391 Å, c = 5.355 Å, α = 90.00°, β = 90.00° and γ = 90.00°. The inequivalent atoms are Li at (0.000, 0.059, 0.000), Li at (0.180, 0.119, 0.502), Fe at (0.000, 0.363, 0.268), F at (0.000, 0.226, 0.507), F at (0.000, 0.486, 0.537), F at (0.139, 0.000, 0.253) and F at (0.157, 0.292, 0.109).

The uncorrected energy is -4.924 eV per atom.